A geometry-optimized AlNi3Se structure, computed with PBE.

a = 4.332 Å, b = 4.332 Å, c = 4.332 Å
α = 90.00°, β = 90.00°, γ = 90.00°
Fractional coordinates of all 5 atoms:
Ni: 0.000 0.000 0.500
Ni: 0.500 0.000 0.000
Ni: 0.000 0.500 0.000
Al: 0.500 0.500 0.500
Se: 0.000 0.000 0.000

Density ... 5.76 g cm⁻³
Formation energy from raw total energies ... 0.352 eV/atom
SG ... Pm-3m (221)
Volume ... 16.3 A^3/atom
Energy above the most stable polymorph in this dataset ... 0 meV per atom

***

A geometry-optimized AlNi2Se structure, computed with PBE.

a = 3.085 Å, b = 3.083 Å, c = 5.599 Å
α = 90.00°, β = 90.00°, γ = 90.00°
Fractional coordinates of all 4 atoms:
Ni: 0.000 0.000 0.518
Ni: 0.000 0.000 0.982
Al: 0.500 0.500 0.750
Se: 0.500 0.500 0.250

Density ... 6.96 g cm⁻³
Formation energy from raw total energies ... -0.220 eV/atom
SG ... P4/mmm (123)
Volume ... 13.3 A^3/atom

***

A geometry-optimized AlNi2Se structure, computed with PBE.

a = 4.310 Å, b = 3.217 Å, c = 3.968 Å
α = 90.00°, β = 90.00°, γ = 90.00°
Fractional coordinates of all 4 atoms:
Se: 0.000 0.375 0.510
Ni: 0.000 0.875 0.032
Ni: 0.500 0.375 0.227
Al: 0.500 0.875 0.730

Density ... 6.74 g cm⁻³
Formation energy from raw total energies ... -0.164 eV/atom
SG ... Pmm2 (25)
Volume ... 13.8 A^3/atom

***

A geometry-optimized AlNi2Se structure, computed with PBE.

a = 4.034 Å, b = 4.033 Å, c = 3.288 Å
α = 90.00°, β = 90.00°, γ = 90.00°
Fractional coordinates of all 4 atoms:
Ni: 0.500 0.500 0.000
Ni: 0.000 0.000 0.000
Al: 0.000 0.500 0.500
Se: 0.500 0.000 0.500

Density ... 6.93 g cm⁻³
Formation energy from raw total energies ... -0.139 eV/atom
SG ... P4/mmm (123)
Volume ... 13.4 A^3/atom

***

A geometry-optimized AlNi2Se structure, computed with PBE.

a = 7.331 Å, b = 7.331 Å, c = 7.331 Å
α = 24.48°, β = 24.48°, γ = 24.48°
Fractional coordinates of all 4 atoms:
Ni: 0.999 0.999 0.999
Ni: 0.249 0.249 0.249
Al: 0.739 0.739 0.739
Se: 0.513 0.513 0.513

Density ... 6.24 g cm⁻³
Formation energy from raw total energies ... 0.013 eV/atom
SG ... R3m (160)
Volume ... 14.9 A^3/atom

***

A geometry-optimized AlNi2Se structure, computed with PBE.

a = 4.591 Å, b = 4.591 Å, c = 3.995 Å
α = 75.81°, β = 75.81°, γ = 42.00°
Fractional coordinates of all 4 atoms:
Se: 0.500 0.500 0.562
Ni: 0.987 0.987 0.050
Ni: 0.759 0.759 0.697
Al: 0.254 0.254 0.191

Density ... 6.82 g cm⁻³
Formation energy from raw total energies ... -0.167 eV/atom
SG ... Cm (8)
Volume ... 13.6 A^3/atom

***

A geometry-optimized Al3NiSe structure, computed with PBE.

a = 4.550 Å, b = 4.550 Å, c = 4.550 Å
α = 90.00°, β = 90.00°, γ = 90.00°
Fractional coordinates of all 5 atoms:
Al: 0.000 0.500 0.000
Al: 0.500 0.000 0.000
Al: 0.000 0.000 0.500
Se: 0.500 0.500 0.500
Ni: 0.000 0.000 0.000

Density ... 3.85 g cm⁻³
Formation energy from raw total energies ... -0.152 eV/atom
SG ... Pm-3m (221)
Volume ... 18.8 A^3/atom
Energy above the most stable polymorph in this dataset ... 0 meV per atom

***

A geometry-optimized AlNi2Se structure, computed with PBE.

a = 5.930 Å, b = 5.930 Å, c = 5.930 Å
α = 152.34°, β = 143.20°, γ = 46.65°
Fractional coordinates of all 4 atoms:
Ni: 0.270 0.770 0.500
Ni: 0.064 0.064 0.000
Al: 0.709 0.209 0.500
Se: 0.457 0.457 0.000

Density ... 6.42 g cm⁻³
Formation energy from raw total energies ... -0.185 eV/atom
SG ... Imm2 (44)
Volume ... 14.4 A^3/atom

***

A geometry-optimized AlNi2Se structure, computed with PBE.

a = 3.269 Å, b = 4.486 Å, c = 4.927 Å
α = 49.30°, β = 90.00°, γ = 90.00°
Fractional coordinates of all 4 atoms:
Ni: 0.000 0.000 0.000
Ni: 0.500 0.500 0.000
Al: 0.000 0.000 0.500
Se: 0.500 0.500 0.500

Density ... 6.77 g cm⁻³
Formation energy from raw total energies ... -0.125 eV/atom
SG ... P2/m (10)
Volume ... 13.7 A^3/atom

***

A geometry-optimized Al2SiNi3 structure, computed with PBE.

a = 5.294 Å, b = 5.294 Å, c = 6.025 Å
α = 89.99°, β = 90.01°, γ = 120.01°
Fractional coordinates of all 12 atoms:
Ni: 0.667 0.834 0.673
Ni: 0.834 0.166 0.327
Ni: 0.166 0.333 0.673
Ni: 0.834 0.667 0.327
Ni: 0.166 0.834 0.673
Ni: 0.333 0.166 0.327
Al: 0.000 0.500 0.000
Al: 0.000 0.000 0.000
Al: 0.500 0.500 0.000
Al: 0.500 0.000 0.000
Si: 0.333 0.667 0.367
Si: 0.667 0.333 0.633

Density ... 5.86 g cm⁻³
Formation energy from raw total energies ... -0.334 eV/atom
SG ... P-3m1 (164)
Volume ... 12.2 A^3/atom

***

A geometry-optimized AlSiNi structure, computed with PBE.

a = 5.466 Å, b = 3.977 Å, c = 8.766 Å
α = 90.00°, β = 90.00°, γ = 90.00°
Fractional coordinates of all 12 atoms:
Si: 0.001 0.750 0.610
Si: 0.999 0.250 0.390
Si: 0.999 0.250 0.110
Si: 0.001 0.750 0.890
Al: 0.496 0.750 0.896
Al: 0.504 0.250 0.104
Al: 0.504 0.250 0.396
Al: 0.496 0.750 0.604
Ni: 0.770 0.750 0.109
Ni: 0.230 0.250 0.891
Ni: 0.230 0.250 0.609
Ni: 0.770 0.750 0.391

Density ... 3.97 g cm⁻³
Formation energy from raw total energies ... -0.132 eV/atom
SG ... Pmmn (59)
Volume ... 15.9 A^3/atom

***

A geometry-optimized Al2Si2Ni structure, computed with PBE.

a = 2.699 Å, b = 5.622 Å, c = 9.887 Å
α = 90.00°, β = 90.00°, γ = 90.00°
Fractional coordinates of all 10 atoms:
Al: 0.000 0.173 0.661
Al: 0.000 0.827 0.339
Al: 0.000 0.327 0.161
Al: 0.000 0.673 0.839
Si: 0.500 0.729 0.114
Si: 0.500 0.271 0.886
Si: 0.500 0.229 0.386
Si: 0.500 0.771 0.614
Ni: 0.000 0.500 0.500
Ni: 0.000 0.000 0.000

Density ... 3.74 g cm⁻³
Formation energy from raw total energies ... -0.066 eV/atom
SG ... Pbam (55)
Volume ... 15.0 A^3/atom

***

A geometry-optimized AlSiNi2 structure, computed with PBE.

a = 4.452 Å, b = 4.452 Å, c = 4.007 Å
α = 74.71°, β = 74.71°, γ = 38.24°
Fractional coordinates of all 4 atoms:
Ni: 0.996 0.996 0.051
Ni: 0.758 0.758 0.691
Si: 0.491 0.491 0.558
Al: 0.254 0.254 0.200

Density ... 6.07 g cm⁻³
Formation energy from raw total energies ... -0.517 eV/atom
SG ... Cm (8)
Volume ... 11.8 A^3/atom

***

A geometry-optimized AlSiNi4 structure, computed with PBE.

a = 2.548 Å, b = 6.849 Å, c = 7.952 Å
α = 90.00°, β = 90.00°, γ = 90.00°
Fractional coordinates of all 12 atoms:
Al: 0.000 0.843 0.750
Al: 0.000 0.157 0.250
Ni: 0.500 0.668 0.960
Ni: 0.500 0.332 0.460
Ni: 0.500 0.668 0.540
Ni: 0.500 0.831 0.250
Ni: 0.000 0.000 0.000
Ni: 0.000 0.000 0.500
Ni: 0.500 0.332 0.040
Ni: 0.500 0.169 0.750
Si: 0.000 0.543 0.250
Si: 0.000 0.457 0.750

Density ... 6.94 g cm⁻³
Formation energy from raw total energies ... -0.265 eV/atom
SG ... Pmma (51)
Volume ... 11.6 A^3/atom
Energy above the most stable polymorph in this dataset ... 193 meV per atom

***

A geometry-optimized AlSiNi structure, computed with PBE.

a = 6.269 Å, b = 6.269 Å, c = 3.957 Å
α = 90.00°, β = 90.00°, γ = 120.00°
Fractional coordinates of all 9 atoms:
Si: 0.000 0.413 0.500
Si: 0.413 0.000 0.500
Si: 0.587 0.587 0.500
Ni: 0.764 0.764 0.000
Ni: 0.236 0.000 0.000
Ni: 0.000 0.236 0.000
Al: 0.667 0.333 0.000
Al: 0.333 0.667 0.000
Al: 0.000 0.000 0.500

Density ... 4.21 g cm⁻³
Formation energy from raw total energies ... -0.126 eV/atom
SG ... P-62m (189)
Volume ... 15.0 A^3/atom

***

A geometry-optimized AlSiNi2 structure, computed with PBE.

a = 5.411 Å, b = 5.411 Å, c = 5.411 Å
α = 56.50°, β = 152.29°, γ = 131.80°
Fractional coordinates of all 4 atoms:
Al: 0.000 0.000 0.000
Ni: 0.000 0.738 0.738
Ni: 0.000 0.262 0.262
Si: 0.000 0.500 0.500

Density ... 5.25 g cm⁻³
Formation energy from raw total energies ... 0.255 eV/atom
SG ... Immm (71)
Volume ... 13.6 A^3/atom

***

A geometry-optimized AlSiNi4 structure, computed with PBE.

a = 8.534 Å, b = 8.534 Å, c = 4.927 Å
α = 90.00°, β = 90.00°, γ = 156.47°
Fractional coordinates of all 12 atoms:
Si: 0.423 0.577 0.750
Si: 0.577 0.423 0.250
Ni: 0.148 0.852 0.003
Ni: 0.000 0.000 0.000
Ni: 0.852 0.148 0.997
Ni: 0.574 0.426 0.750
Ni: 0.852 0.148 0.503
Ni: 0.148 0.852 0.497
Ni: 0.426 0.574 0.250
Ni: 0.000 0.000 0.500
Al: 0.726 0.274 0.750
Al: 0.274 0.726 0.250

Density ... 6.72 g cm⁻³
Formation energy from raw total energies ... -0.410 eV/atom
SG ... Cmcm (63)
Volume ... 11.9 A^3/atom
Energy above the most stable polymorph in this dataset ... 48 meV per atom

***

A geometry-optimized Al2SiNi8 structure, computed with PBE.

a = 3.688 Å, b = 5.485 Å, c = 6.600 Å
α = 104.02°, β = 106.23°, γ = 90.00°
Fractional coordinates of all 11 atoms:
Ni: 0.673 0.916 0.346
Ni: 0.327 0.084 0.654
Ni: 0.591 0.449 0.182
Ni: 0.145 0.191 0.291
Ni: 0.409 0.551 0.818
Ni: 0.963 0.265 0.925
Ni: 0.037 0.735 0.075
Ni: 0.855 0.809 0.709
Al: 0.782 0.346 0.564
Al: 0.218 0.654 0.436
Si: 0.500 0.000 0.000

Density ... 7.38 g cm⁻³
Formation energy from raw total energies ... -0.406 eV/atom
SG ... C2/m (12)
Volume ... 11.3 A^3/atom
Energy above the most stable polymorph in this dataset ... 0 meV per atom

***

A geometry-optimized AlSiNi2 structure, computed with PBE.

a = 2.746 Å, b = 4.797 Å, c = 7.757 Å
α = 90.00°, β = 100.20°, γ = 90.00°
Fractional coordinates of all 8 atoms:
Ni: 0.000 0.500 0.500
Ni: 0.750 0.250 0.999
Ni: 0.250 0.750 0.001
Ni: 0.000 0.000 0.500
Si: 0.131 0.250 0.762
Si: 0.869 0.750 0.238
Al: 0.387 0.250 0.275
Al: 0.613 0.750 0.725

Density ... 5.69 g cm⁻³
Formation energy from raw total energies ... -0.325 eV/atom
SG ... Cmcm (63)
Volume ... 12.6 A^3/atom

***

A geometry-optimized AlSi2Ni4 structure, computed with PBE.

a = 3.745 Å, b = 3.745 Å, c = 15.042 Å
α = 90.00°, β = 90.00°, γ = 120.00°
Fractional coordinates of all 14 atoms:
Ni: 0.333 0.667 0.042
Ni: 0.333 0.667 0.540
Ni: 0.333 0.667 0.709
Ni: 0.333 0.667 0.200
Ni: 0.667 0.333 0.291
Ni: 0.667 0.333 0.460
Ni: 0.667 0.333 0.958
Ni: 0.667 0.333 0.800
Si: 0.667 0.333 0.113
Si: 0.000 0.000 0.250
Si: 0.000 0.000 0.750
Si: 0.333 0.667 0.887
Al: 0.667 0.333 0.622
Al: 0.333 0.667 0.378

Density ... 5.78 g cm⁻³
Formation energy from raw total energies ... -0.315 eV/atom
SG ... P-3m1 (164)
Volume ... 13.1 A^3/atom
Energy above the most stable polymorph in this dataset ... 214 meV per atom

***

A geometry-optimized AlSiNi structure, computed with PBE.

a = 5.615 Å, b = 5.615 Å, c = 2.716 Å
α = 76.00°, β = 76.01°, γ = 27.99°
Fractional coordinates of all 3 atoms:
Ni: 0.329 0.329 0.671
Al: 0.988 0.988 0.012
Si: 0.683 0.683 0.317

Density ... 4.85 g cm⁻³
Formation energy from raw total energies ... -0.212 eV/atom
SG ... I4mm (107)
Volume ... 13.0 A^3/atom

***

A geometry-optimized AlSiNi structure, computed with PBE.

a = 7.807 Å, b = 7.807 Å, c = 2.704 Å
α = 90.00°, β = 90.00°, γ = 132.24°
Fractional coordinates of all 9 atoms:
Al: 0.806 0.806 0.000
Al: 0.347 0.633 0.500
Al: 0.633 0.347 0.500
Si: 0.207 0.873 0.500
Si: 0.148 0.148 0.500
Si: 0.873 0.207 0.500
Ni: 0.443 0.443 0.000
Ni: 0.004 0.538 0.000
Ni: 0.538 0.004 0.000

Density ... 4.65 g cm⁻³
Formation energy from raw total energies ... -0.290 eV/atom
SG ... Amm2 (38)
Volume ... 13.6 A^3/atom

***

A geometry-optimized AlSi4Ni structure, computed with PBE.

a = 7.198 Å, b = 7.198 Å, c = 7.153 Å
α = 90.00°, β = 90.00°, γ = 151.87°
Fractional coordinates of all 12 atoms:
Si: 0.537 0.463 0.750
Si: 0.000 0.000 0.500
Si: 0.819 0.181 0.027
Si: 0.819 0.181 0.473
Si: 0.181 0.819 0.973
Si: 0.000 0.000 0.000
Si: 0.463 0.537 0.250
Si: 0.181 0.819 0.527
Al: 0.648 0.352 0.250
Al: 0.352 0.648 0.750
Ni: 0.711 0.289 0.750
Ni: 0.289 0.711 0.250

Density ... 3.76 g cm⁻³
Formation energy from raw total energies ... 0.044 eV/atom
SG ... Cmcm (63)
Volume ... 14.6 A^3/atom
Energy above the most stable polymorph in this dataset ... 0 meV per atom

***

A geometry-optimized AlSiNi structure, computed with PBE.

a = 6.480 Å, b = 6.480 Å, c = 6.410 Å
α = 90.00°, β = 90.00°, γ = 120.00°
Fractional coordinates of all 18 atoms:
Ni: 0.667 0.333 0.030
Ni: 0.333 0.667 0.970
Ni: 0.000 0.000 0.750
Ni: 0.000 0.000 0.250
Ni: 0.333 0.667 0.530
Ni: 0.667 0.333 0.470
Al: 0.976 0.605 0.750
Al: 0.024 0.630 0.250
Al: 0.370 0.395 0.250
Al: 0.605 0.976 0.250
Al: 0.630 0.024 0.750
Al: 0.395 0.370 0.750
Si: 0.728 0.728 0.000
Si: 0.272 0.000 0.500
Si: 0.272 0.000 0.000
Si: 0.000 0.272 0.500
Si: 0.000 0.272 0.000
Si: 0.728 0.728 0.500

Density ... 4.86 g cm⁻³
Formation energy from raw total energies ... -0.407 eV/atom
SG ... P-62c (190)
Volume ... 12.9 A^3/atom

***

A geometry-optimized AlSiNi2 structure, computed with PBE.

a = 3.585 Å, b = 4.809 Å, c = 5.866 Å
α = 90.00°, β = 90.00°, γ = 90.00°
Fractional coordinates of all 8 atoms:
Ni: 0.500 0.000 0.000
Ni: 0.500 0.500 0.000
Ni: 0.500 0.750 0.388
Ni: 0.500 0.250 0.612
Si: 0.000 0.250 0.862
Si: 0.000 0.750 0.138
Al: 0.000 0.250 0.329
Al: 0.000 0.750 0.671

Density ... 5.66 g cm⁻³
Formation energy from raw total energies ... -0.335 eV/atom
SG ... Pmma (51)
Volume ... 12.6 A^3/atom